Record 1
Here is a relaxed structure of Ca3MgCu from the Alexandria database. Energies are from PBE-GGA.

Its density of states at the Fermi level is 4.89 states/eV/f.u. For the formation energy, the calculation gives 1.2 eV/f.u. The calculation puts the electronic total energy at -2.094 eV per atom. For the calculated volume, the calculation gives 34.200 A^3/atom. Its crystal system is hexagonal.

It has space group P6_3/mmc (No. 194), with a = 9.0262 Å, b = 9.0262 Å, c = 4.8472 Å, α = 90.00°, β = 90.00° and γ = 120.00°. The distinct sites, in fractional coordinates, are Ca at (0.2003, 0.4006, 0.2500), Mg at (0.0000, 0.0000, 0.0000) and Cu at (0.3333, 0.6667, 0.7500).

---

Record 2
Here is a relaxed structure of DyCu4Ni from the Alexandria database. Energies are from PBE-GGA.

Its density of states at the Fermi level is 2.40 states/eV/f.u. For the formation energy, the calculation gives -0.6 eV/f.u. The calculation puts the electronic total energy at -4.563 eV per atom. For the calculated volume, the calculation gives 14.898 A^3/atom. Its crystal system is orthorhombic.

It has space group Pmma (No. 51), with a = 7.259 Å, b = 3.788 Å, c = 6.502 Å, α = 90.00°, β = 90.00° and γ = 90.00°. The distinct sites, in fractional coordinates, are Dy at (0.250, 0.000, 0.110), Cu at (0.000, 0.000, 0.500), Cu at (0.047, 0.500, 0.790), Cu at (0.250, 0.500, 0.463) and Ni at (0.250, 0.000, 0.724).

---

Record 3
Here is a relaxed structure of H2IrS from the Alexandria database. Energies are from PBE-GGA.

Its density of states at the Fermi level is 2.51 states/eV/f.u. The calculation puts the electronic total energy at -4.145 eV per atom. For the calculated volume, the calculation gives 10.522 A^3/atom. Its crystal system is trigonal.

It has space group R-3m (No. 166, hexagonal axes), with a = 2.6309 Å, b = 2.6309 Å, c = 21.0645 Å, α = 90.00°, β = 90.00° and γ = 120.00°. The distinct sites, in fractional coordinates, are H at (0.0000, 0.0000, 0.0817), Ir at (0.0000, 0.0000, 0.0000) and S at (0.0000, 0.0000, 0.5000).

---

Record 4
Here is a relaxed structure of CuSiBr6 from the Alexandria database. Energies are from PBE-GGA.

Its density of states at the Fermi level is 1.87 states/eV/f.u. The calculation puts the electronic total energy at -2.793 eV per atom. For the calculated volume, the calculation gives 32.806 A^3/atom. Its crystal system is triclinic. As for the uncorrected formation energy: -0.3484 eV per atom.

It has space group P-1 (No. 2), with a = 5.941 Å, b = 6.668 Å, c = 7.703 Å, α = 66.14°, β = 70.24° and γ = 84.08°. The distinct sites, in fractional coordinates, are Cu at (0.000, 0.000, 0.000), Si at (0.500, 0.500, 0.000), Br at (0.131, 0.651, 0.187), Br at (0.261, 0.156, 0.121) and Br at (0.420, 0.663, 0.700).